Record 1
The following is a PBE calculation of a relaxed structure of CaRe2P, from Alexandria.

Geometry as POSCAR:
```
CaRe2P
1.0
2.9595 0.0000 0.0000
0.0000 2.9595 0.0000
0.0000 0.0000 7.7004
Ca Re P
1 2 1
Direct
0.0000 0.0000 0.0000
0.0000 0.0000 0.4585
0.5000 0.5000 0.6890
0.5000 0.5000 0.2865
```

Results
Total magnetization, μB/atom: 0.000
Formation energy, eV per atom: 0.000
Space group: P4mm (99)
DFT total energy, eV per cell: -32.31



Record 2
The following is a PBE calculation of a relaxed structure of CaReP, from Alexandria.

Geometry as POSCAR:
```
CaReP
1.0
3.1768 0.0000 0.0000
0.0000 3.1768 0.0000
0.0000 0.0000 10.7320
Ca Re P
2 2 2
Direct
0.0000 0.0000 0.0000
0.5000 0.5000 0.5000
0.0000 0.0000 0.7086
0.5000 0.5000 0.2086
0.0000 0.0000 0.2962
0.5000 0.5000 0.7962
```

Results
Total magnetization, μB/atom: 0.000
Formation energy, eV per atom: -0.312
E above lowest polymorph, eV/f.u.: 0.47
Space group: I4mm (107)
DFT total energy, eV per cell: -41.59



Record 3
The following is a PBE calculation of a relaxed structure of CaRe2P, from Alexandria.

Geometry as POSCAR:
```
CaRe2P
1.0
3.0203 0.0000 0.0000
-1.5102 2.6157 0.0000
0.0000 0.0000 25.4833
Ca Re P
3 6 3
Direct
0.0000 0.0000 0.0000
0.3333 0.6667 0.6667
0.6667 0.3333 0.3333
0.0000 0.0000 0.2329
0.0000 0.0000 0.7671
0.3333 0.6667 0.4338
0.3333 0.6667 0.8996
0.6667 0.3333 0.1004
0.6667 0.3333 0.5662
0.0000 0.0000 0.5000
0.3333 0.6667 0.1667
0.6667 0.3333 0.8333
```

Results
Total magnetization, μB/atom: 0.000
Formation energy, eV per atom: 0.387
Space group: R-3m (166)
DFT total energy, eV per cell: -92.28



Record 4
The following is a PBE calculation of a relaxed structure of CaReP2, from Alexandria.

Geometry as POSCAR:
```
CaReP2
1.0
3.2067 0.0000 0.0000
0.0000 3.2067 0.0000
0.0000 0.0000 6.6620
Ca Re P
1 1 2
Direct
0.0000 0.0000 0.0000
0.5000 0.5000 0.6429
0.0000 0.0000 0.5077
0.5000 0.5000 0.2814
```

Results
Total magnetization, μB/atom: 0.000
Formation energy, eV per atom: -0.121
E above lowest polymorph, eV/f.u.: 1.43
Space group: P4mm (99)
DFT total energy, eV per cell: -25.75



Record 5
The following is a PBE calculation of a relaxed structure of CaReP2, from Alexandria.

Geometry as POSCAR:
```
CaReP2
1.0
3.7789 0.0000 0.0000
0.0000 3.7789 0.0000
0.0000 0.0000 9.4746
Ca Re P
2 2 4
Direct
0.0000 0.0000 0.0000
0.5000 0.5000 0.5000
0.0000 0.5000 0.2500
0.5000 0.0000 0.7500
0.0000 0.0000 0.5000
0.0000 0.5000 0.7500
0.5000 0.0000 0.2500
0.5000 0.5000 0.0000
```

Results
Total magnetization, μB/atom: 0.371
Formation energy, eV per atom: 0.349
E above lowest polymorph, eV/f.u.: 3.30
Space group: I-4m2 (119)
DFT total energy, eV per cell: -47.75



Record 6
The following is a PBE calculation of a relaxed structure of CaReP2, from Alexandria.

Geometry as POSCAR:
```
CaReP2
1.0
3.1558 0.0000 0.0000
0.0000 3.3477 0.0000
0.0000 0.0000 13.4864
Ca Re P
2 2 4
Direct
0.0000 0.0000 0.0000
0.5000 0.5000 0.5000
0.0000 0.5000 0.2550
0.5000 0.0000 0.7550
0.0000 0.0000 0.6229
0.0000 0.5000 0.8297
0.5000 0.0000 0.3297
0.5000 0.5000 0.1229
```

Results
Total magnetization, μB/atom: 0.000
Formation energy, eV per atom: -0.420
E above lowest polymorph, eV/f.u.: 0.23
Space group: Imm2 (44)
DFT total energy, eV per cell: -53.90



Record 7
The following is a PBE calculation of a relaxed structure of CaReP, from Alexandria.

Geometry as POSCAR:
```
CaReP
1.0
6.4833 0.0000 0.0000
0.0000 6.4833 0.0000
0.0000 0.0000 6.4833
Ca Re P
4 4 4
Direct
0.0000 0.0000 0.0000
0.0000 0.5000 0.5000
0.5000 0.0000 0.5000
0.5000 0.5000 0.0000
0.2500 0.2500 0.2500
0.2500 0.7500 0.7500
0.7500 0.2500 0.7500
0.7500 0.7500 0.2500
0.2500 0.2500 0.7500
0.2500 0.7500 0.2500
0.7500 0.2500 0.2500
0.7500 0.7500 0.7500
```

Results
Total magnetization, μB/atom: 0.843
Formation energy, eV per atom: 1.572
E above lowest polymorph, eV/f.u.: 6.12
Space group: F-43m (216)
DFT total energy, eV per cell: -60.57



Record 8
The following is a PBE calculation of a relaxed structure of CaRe2P, from Alexandria.

Geometry as POSCAR:
```
CaRe2P
1.0
3.1500 0.0000 0.0000
0.0000 4.1836 0.0000
-0.0088 0.0000 5.7254
Ca Re P
1 2 1
Direct
0.0000 0.0000 0.0000
0.0013 0.5000 0.5610
0.5008 0.0000 0.5089
0.5006 0.5000 0.2459
```

Results
Total magnetization, μB/atom: 0.000
Formation energy, eV per atom: 0.038
Space group: Pm (6)
DFT total energy, eV per cell: -32.15



Record 9
The following is a PBE calculation of a relaxed structure of CaRe2P, from Alexandria.

Geometry as POSCAR:
```
CaRe2P
1.0
3.7493 0.0000 0.0000
0.0000 3.7493 0.0000
0.0000 0.0000 9.7720
Ca Re P
2 4 2
Direct
0.0000 0.0000 0.0000
0.5000 0.5000 0.5000
0.0000 0.5000 0.2500
0.0000 0.5000 0.7500
0.5000 0.0000 0.2500
0.5000 0.0000 0.7500
0.0000 0.0000 0.5000
0.5000 0.5000 0.0000
```

Results
Total magnetization, μB/atom: 0.000
Formation energy, eV per atom: 0.579
Space group: I4/mmm (139)
DFT total energy, eV per cell: -59.99



Record 10
The following is a PBE calculation of a relaxed structure of CaReP3, from Alexandria.

Geometry as POSCAR:
```
CaReP3
1.0
4.8351 0.0000 0.0000
0.0000 4.8351 0.0000
0.0000 0.0000 4.8351
Ca Re P
1 1 3
Direct
0.0000 0.0000 0.0000
0.5000 0.5000 0.5000
0.0000 0.0000 0.5000
0.0000 0.5000 0.0000
0.5000 0.0000 0.0000
```

Results
Total magnetization, μB/atom: 0.008
Formation energy, eV per atom: 2.234
E above lowest polymorph, eV/f.u.: 11.06
Space group: Pm-3m (221)
DFT total energy, eV per cell: -19.51



Record 11
The following is a PBE calculation of a relaxed structure of CaRe2P, from Alexandria.

Geometry as POSCAR:
```
CaRe2P
1.0
4.7531 0.0000 0.0000
0.0000 4.7531 0.0000
0.0000 0.0000 16.4194
Ca Re P
4 8 4
Direct
0.0000 0.0000 0.0000
0.0000 0.5000 0.2500
0.5000 0.0000 0.7500
0.5000 0.5000 0.5000
0.0429 0.2500 0.6250
0.2500 0.5429 0.8750
0.2500 0.9571 0.3750
0.4571 0.2500 0.1250
0.5429 0.7500 0.1250
0.7500 0.0429 0.3750
0.7500 0.4571 0.8750
0.9571 0.7500 0.6250
0.0000 0.0000 0.5000
0.0000 0.5000 0.7500
0.5000 0.0000 0.2500
0.5000 0.5000 0.0000
```

Results
Total magnetization, μB/atom: 0.000
Formation energy, eV per atom: 0.524
Space group: I-42d (122)
DFT total energy, eV per cell: -120.85



Record 12
The following is a PBE calculation of a relaxed structure of CaRe4P2, from Alexandria.

Geometry as POSCAR:
```
CaRe4P2
1.0
4.0981 0.0000 0.0000
0.0000 13.7610 0.0000
0.0000 0.0000 4.0427
Ca Re P
2 8 4
Direct
0.0000 0.0000 0.0000
0.5000 0.5000 0.0000
0.0000 0.1827 0.5000
0.0000 0.3058 0.0000
0.0000 0.6942 0.0000
0.0000 0.8173 0.5000
0.5000 0.1942 0.0000
0.5000 0.3173 0.5000
0.5000 0.6827 0.5000
0.5000 0.8058 0.0000
0.0000 0.4136 0.5000
0.0000 0.5864 0.5000
0.5000 0.0864 0.5000
0.5000 0.9136 0.5000
```

Results
Total magnetization, μB/atom: 0.000
Formation energy, eV per atom: -0.457
Space group: Cmmm (65)
DFT total energy, eV per cell: -131.63